No. 1
A plane-wave DFT calculation with PBEsol was carried out for a relaxed structure of LaAgOF2.

Cell: 4.1880 4.3030 4.3030 Å, 90.00 90.00 90.00°
Last column: nearest neighbours and their distance in Å.
Fractional coordinates of all 5 atoms:
1 O 0.5000 0.0000 0.0000  2 Ag 2.09
2 La 0.5000 0.5000 0.5000  8 F 3.00, 4 O 3.04
3 Ag 0.0000 0.0000 0.0000  2 O 2.09, 4 F 2.15
4 F 0.0000 0.5000 0.0000  2 Ag 2.15
5 F 0.0000 0.0000 0.5000  2 Ag 2.15

Uncorrected formation energy (eV/f.u.): -8.82
Density of states at the Fermi level (states/eV/cell): 3.87

---

No. 2
A plane-wave DFT calculation with PBEsol was carried out for a relaxed structure of SrLa2AgF.

Cell: 4.9141 4.9141 5.8732 Å, 90.00 90.00 90.00°
Last column: nearest neighbours and their distance in Å.
Fractional coordinates of all 5 atoms:
1 Ag 0.0000 0.0000 0.5000  2 F 2.94
2 La 0.0000 0.5000 0.0000  2 F 2.46
3 F 0.0000 0.0000 0.0000  4 La 2.46
4 La 0.5000 0.0000 0.0000  2 F 2.46
5 Sr 0.5000 0.5000 0.5000  4 Ag 3.47, 8 La 3.83

Uncorrected formation energy (eV/f.u.): -4.22
Density of states at the Fermi level (states/eV/cell): 7.23

---

No. 3
A plane-wave DFT calculation with PBEsol was carried out for a relaxed structure of LiAgF3.

Cell: 5.2743 5.2743 14.8279 Å, 90.00 90.00 120.00°
Last column: nearest neighbours and their distance in Å.
Fractional coordinates of all 30 atoms:
1 F 0.9476 0.6580 0.4911  2 Li 1.96-2.00, 1 Ag 2.11
2 F 0.7105 0.6580 0.6756  2 Li 1.96-2.00, 1 Ag 2.11
3 Li 0.9674 0.0326 0.2500  6 F 1.96-2.08
4 Ag 0.6911 0.3089 0.7500  4 F 2.11-2.14
5 F 0.3420 0.2895 0.8244  2 Li 1.96-2.00, 1 Ag 2.11
6 F 0.7335 0.0000 0.8333  2 Li 2.08, 2 Ag 2.14
7 F 0.9476 0.2895 0.3422  2 Li 1.96-2.00, 1 Ag 2.11
8 F 0.7335 0.7335 0.0000  2 Li 2.08, 2 Ag 2.14
9 Li 0.9347 0.9674 0.4167  6 F 1.96-2.08
10 Ag 0.3089 0.6911 0.2500  4 F 2.11-2.14
11 Li 0.0326 0.0653 0.0833  6 F 1.96-2.08
12 F 0.2895 0.9476 0.6578  2 Li 1.96-2.00, 1 Ag 2.11
13 F 0.6580 0.7105 0.3244  2 Li 1.96-2.00, 1 Ag 2.11
14 Ag 0.6911 0.3822 0.0833  4 F 2.11-2.14
15 F 0.0000 0.7335 0.1667  2 Li 2.08, 2 Ag 2.14
16 Ag 0.6178 0.3089 0.4167  4 F 2.11-2.14
17 F 0.0524 0.3420 0.9911  2 Li 1.96-2.00, 1 Ag 2.11
18 Li 0.9674 0.9347 0.5833  6 F 1.96-2.08
19 Li 0.0653 0.0326 0.9167  6 F 1.96-2.08
20 Ag 0.3822 0.6911 0.9167  4 F 2.11-2.14
21 F 0.3420 0.0524 0.0089  2 Li 1.96-2.00, 1 Ag 2.11
22 F 0.6580 0.9476 0.5089  2 Li 1.96-2.00, 1 Ag 2.11
23 Li 0.0326 0.9674 0.7500  6 F 1.96-2.08
24 F 0.2665 0.2665 0.5000  2 Li 2.08, 2 Ag 2.14
25 F 0.7105 0.0524 0.1578  2 Li 1.96-2.00, 1 Ag 2.11
26 F 0.2895 0.3420 0.1756  2 Li 1.96-2.00, 1 Ag 2.11
27 Ag 0.3089 0.6178 0.5833  4 F 2.11-2.14
28 F 0.0524 0.7105 0.8422  2 Li 1.96-2.00, 1 Ag 2.11
29 F 0.2665 0.0000 0.3333  2 Li 2.08, 2 Ag 2.14
30 F 0.0000 0.2665 0.6667  2 Li 2.08, 2 Ag 2.14

Uncorrected formation energy (eV/f.u.): -9.01
Density of states at the Fermi level (states/eV/cell): 9.62

---

No. 4
A plane-wave DFT calculation with PBEsol was carried out for a relaxed structure of LiAgF3.

Cell: 5.2521 5.3236 5.5908 Å, 64.34 85.73 61.37°
Last column: nearest neighbours and their distance in Å.
Fractional coordinates of all 10 atoms:
1 Ag 0.8363 0.3053 0.5401  4 F 2.05-2.14
2 F 0.3021 0.7526 0.7638  2 Li 1.93-2.14, 1 Ag 2.09
3 F 0.6979 0.2474 0.2362  2 Li 1.93-2.14, 1 Ag 2.09
4 F 0.5975 0.1278 0.7971  2 Li 1.94-2.02, 1 Ag 2.05
5 Li 0.6308 0.7085 0.9459  5 F 1.93-2.14
6 Li 0.3692 0.2915 0.0541  5 F 1.93-2.14
7 F 0.0506 0.5071 0.2404  1 Li 2.03, 2 Ag 2.13-2.14
8 Ag 0.1637 0.6947 0.4599  4 F 2.05-2.14
9 F 0.9494 0.4929 0.7596  1 Li 2.03, 2 Ag 2.13-2.14
10 F 0.4025 0.8722 0.2029  2 Li 1.94-2.02, 1 Ag 2.05

Uncorrected formation energy (eV/f.u.): -8.95
Density of states at the Fermi level (states/eV/cell): 1.22

---

No. 5
A plane-wave DFT calculation with PBEsol was carried out for a relaxed structure of LiAg2F6.

Cell: 4.7937 6.2218 16.3335 Å, 100.99 90.00 90.00°
Last column: nearest neighbours and their distance in Å.
Fractional coordinates of all 36 atoms:
1 Ag 0.5130 0.3429 0.5767  4 F 1.99-2.05
2 F 0.2138 0.1190 0.6475  1 Ag 1.99, 1 Li 2.06
3 F 0.7862 0.8810 0.3525  1 Ag 1.99, 1 Li 2.06
4 Li 0.9601 0.8958 0.5737  5 F 1.93-2.06
5 Ag 0.9935 0.7625 0.2479  4 F 1.98-2.02
6 F 0.2862 0.1190 0.1475  1 Ag 1.99, 1 Li 2.06
7 F 0.2396 0.6224 0.8168  2 Ag 2.01-2.03
8 Li 0.5399 0.8958 0.0737  5 F 1.93-2.06
9 F 0.2604 0.6224 0.3168  2 Ag 2.01-2.03
10 F 0.7153 0.8989 0.1840  1 Ag 1.98, 1 Li 1.98
11 Ag 0.4935 0.2375 0.2521  4 F 1.98-2.02
12 F 0.8058 0.3933 0.8552  2 Ag 2.02-2.05
13 F 0.2712 0.8895 0.9821  2 Li 1.97-1.98, 1 Ag 2.00
14 F 0.7847 0.8989 0.6839  1 Ag 1.98, 1 Li 1.98
15 F 0.7271 0.6534 0.5227  1 Li 1.93, 1 Ag 1.99
16 Ag 0.5065 0.7625 0.7479  4 F 1.98-2.02
17 F 0.7729 0.6534 0.0227  1 Li 1.93, 1 Ag 1.99
18 F 0.6942 0.3933 0.3552  2 Ag 2.02-2.05
19 F 0.7604 0.3776 0.1832  2 Ag 2.01-2.03
20 F 0.1942 0.6067 0.1448  2 Ag 2.02-2.05
21 Ag 0.9870 0.3429 0.0767  4 F 1.99-2.05
22 Ag 0.4870 0.6571 0.4233  4 F 1.99-2.05
23 F 0.7396 0.3776 0.6832  2 Ag 2.01-2.03
24 F 0.7138 0.8810 0.8525  1 Ag 1.99, 1 Li 2.06
25 F 0.7288 0.1105 0.0179  2 Li 1.97-1.98, 1 Ag 2.00
26 Li 0.0399 0.1042 0.4263  5 F 1.93-2.06
27 F 0.2153 0.1011 0.3160  1 Ag 1.98, 1 Li 1.98
28 F 0.7712 0.1105 0.5179  2 Li 1.97-1.98, 1 Ag 2.00
29 F 0.2729 0.3466 0.4773  1 Li 1.93, 1 Ag 1.99
30 Ag 0.0130 0.6571 0.9233  4 F 1.99-2.05
31 F 0.3058 0.6067 0.6448  2 Ag 2.02-2.05
32 Ag 0.0065 0.2375 0.7521  4 F 1.98-2.02
33 Li 0.4601 0.1042 0.9263  5 F 1.93-2.06
34 F 0.2847 0.1011 0.8161  1 Ag 1.98, 1 Li 1.98
35 F 0.2288 0.8895 0.4821  2 Li 1.97-1.98, 1 Ag 2.00
36 F 0.2271 0.3466 0.9773  1 Li 1.93, 1 Ag 1.99

Uncorrected formation energy (eV/f.u.): -13.40
Density of states at the Fermi level (states/eV/cell): 16.61

---

No. 6
A plane-wave DFT calculation with PBEsol was carried out for a relaxed structure of LiAg3F8.

Cell: 5.5053 6.7465 9.7443 Å, 77.01 73.59 65.92°
Last column: nearest neighbours and their distance in Å.
Fractional coordinates of all 24 atoms:
1 F 0.4575 0.8839 0.7795  2 Ag 2.05-2.17
2 F 0.0213 0.2990 0.9610  2 Ag 2.01-2.21
3 F 0.7848 0.1722 0.5572  1 Li 1.93, 1 Ag 1.99
4 F 0.9787 0.7010 0.0390  2 Ag 2.01-2.21
5 F 0.5425 0.1161 0.2205  2 Ag 2.05-2.17
6 F 0.4858 0.6722 0.0572  1 Li 1.93, 1 Ag 1.99
7 Ag 0.0000 0.0000 0.0000  4 F 1.98-2.01
8 Ag 0.2953 0.8644 0.6205  4 F 1.99-2.21
9 F 0.0874 0.9852 0.1867  1 Li 1.91, 1 Ag 1.98
10 Li 0.3901 0.7500 0.2500  4 F 1.91-1.93
11 F 0.2813 0.2010 0.5390  2 Ag 2.01-2.21
12 Ag 0.0000 0.5000 0.5000  4 F 1.98-2.01
13 Li 0.6099 0.2500 0.7500  4 F 1.91-1.93
14 F 0.2152 0.8278 0.4428  1 Li 1.93, 1 Ag 1.99
15 F 0.8791 0.3839 0.2795  2 Ag 2.05-2.17
16 F 0.5142 0.3278 0.9428  1 Li 1.93, 1 Ag 1.99
17 Ag 0.7047 0.1356 0.3795  4 F 1.99-2.21
18 F 0.2593 0.5148 0.3133  1 Li 1.91, 1 Ag 1.98
19 Ag 0.7801 0.6356 0.8795  4 F 1.99-2.21
20 Ag 0.2199 0.3644 0.1205  4 F 1.99-2.21
21 F 0.1209 0.6161 0.7205  2 Ag 2.05-2.17
22 F 0.7407 0.4852 0.6867  1 Li 1.91, 1 Ag 1.98
23 F 0.7187 0.7990 0.4610  2 Ag 2.01-2.21
24 F 0.9126 0.0148 0.8133  1 Li 1.91, 1 Ag 1.98

Uncorrected formation energy (eV/f.u.): -16.39
Density of states at the Fermi level (states/eV/cell): 7.28